No. 1
This record from Alexandria via LeMat-Bulk describes a geometry-optimized Pm2Si3Ni4Au structure. The functional is PBE.

Properties
Formation energy without anion corrections (eV per atom): -0.669
Crystal system: tetragonal

Cell lengths 4.104, 4.104, 9.693 Å; angles 90.00, 90.00, 90.00 degrees
Fractional positions:
Au1 0.500 0.500 0.500
Pm1 0.000 0.500 0.754
Pm2 0.500 0.000 0.246
Si1 0.000 0.500 0.117
Si2 0.500 0.000 0.883
Si3 0.000 0.000 0.500
Ni1 0.500 0.000 0.648
Ni2 0.500 0.500 0.000
Ni3 0.000 0.500 0.352
Ni4 0.000 0.000 0.000



No. 2
This record from Alexandria via LeMat-Bulk describes a geometry-optimized PmSmNiAu structure. The functional is PBE.

Properties
DFT formation energy (eV per atom): -0.563
Crystal system: orthorhombic

Cell lengths 3.887, 4.590, 5.695 Å; angles 90.00, 109.96, 90.00 degrees
Fractional positions:
Pm1 0.141 0.000 0.282
Au1 0.577 0.500 0.154
Sm1 0.862 0.500 0.724
Ni1 0.420 0.000 0.840



No. 3
This record from Alexandria via LeMat-Bulk describes a geometry-optimized Pm2Ni4Sn3Au structure. The functional is PBE.

Properties
DFT formation energy (eV per atom): -0.483
Crystal system: tetragonal

Cell lengths 4.436, 4.436, 10.018 Å; angles 90.00, 90.00, 90.00 degrees
Fractional positions:
Ni1 0.000 0.500 0.371
Ni2 0.000 0.000 0.000
Ni3 0.500 0.000 0.629
Ni4 0.500 0.500 0.000
Au1 0.500 0.500 0.500
Pm1 0.000 0.500 0.753
Pm2 0.500 0.000 0.247
Sn1 0.000 0.500 0.124
Sn2 0.500 0.000 0.876
Sn3 0.000 0.000 0.500



No. 4
This record from Alexandria via LeMat-Bulk describes a geometry-optimized PmNiSnAu structure. The functional is PBE.

Properties
DFT formation energy (eV per atom): -0.470
Crystal system: cubic

Cell lengths 4.876, 4.876, 4.876 Å; angles 60.00, 60.00, 60.00 degrees
Fractional positions:
Au1 0.000 0.000 0.000
Pm1 0.750 0.750 0.750
Ni1 0.500 0.500 0.500
Sn1 0.250 0.250 0.250



No. 5
This record from Alexandria via LeMat-Bulk describes a geometry-optimized Pm2NiSn4Au3 structure. The functional is PBE.

Properties
DFT formation energy (eV per atom): -0.496
Crystal system: tetragonal

Cell lengths 4.534, 4.534, 11.497 Å; angles 90.00, 90.00, 90.00 degrees
Fractional positions:
Sn1 0.000 0.000 0.000
Sn2 0.500 0.500 0.000
Sn3 0.500 0.000 0.622
Sn4 0.000 0.500 0.378
Au1 0.000 0.000 0.500
Au2 0.500 0.000 0.852
Au3 0.000 0.500 0.148
Ni1 0.500 0.500 0.500
Pm1 0.500 0.000 0.281
Pm2 0.000 0.500 0.719



No. 6
This record from Alexandria via LeMat-Bulk describes a geometry-optimized SrPmNiAu structure. The functional is PBE.

Properties
DFT formation energy (eV per atom): -0.341
Crystal system: cubic

Cell lengths 5.173, 5.173, 5.173 Å; angles 60.00, 60.00, 60.00 degrees
Fractional positions:
Sr1 0.000 0.000 0.000
Pm1 0.500 0.500 0.500
Au1 0.750 0.750 0.750
Ni1 0.250 0.250 0.250



No. 7
This record from Alexandria via LeMat-Bulk describes a geometry-optimized PmThNiAu structure. The functional is PBE.

Properties
Distance to the lowest polymorph of the same formula (kJ/mol of formula units): 0.0
DFT formation energy (eV per atom): -0.553
Crystal system: orthorhombic

Cell lengths 3.886, 4.278, 6.170 Å; angles 90.00, 108.36, 90.00 degrees
Fractional positions:
Th1 0.872 0.500 0.743
Au1 0.577 0.500 0.153
Ni1 0.403 0.000 0.805
Pm1 0.149 0.000 0.298



No. 8
This record from Alexandria via LeMat-Bulk describes a geometry-optimized PmThNiAu structure. The functional is PBE.

Properties
Distance to the lowest polymorph of the same formula (kJ/mol of formula units): 55.0
DFT formation energy (eV per atom): -0.410
Crystal system: cubic

Cell lengths 5.113, 5.113, 5.113 Å; angles 60.00, 60.00, 60.00 degrees
Fractional positions:
Pm1 0.500 0.500 0.500
Ni1 0.250 0.250 0.250
Th1 0.000 0.000 0.000
Au1 0.750 0.750 0.750



no.,energy (eV/atom)
1,-5.886
2,-5.196
3,-5.274
4,-4.923
5,-4.609
6,-4.213
7,-5.860
8,-5.718